Here is crystalline Ba2NdThSb4 at its relaxed geometry from the Alexandria database. Energies are from PBE.

```
Ba2NdThSb4
1.0
8.136 0.000 0.000
0.000 4.690 0.000
-2.710 0.000 8.005
Ba Nd Th Sb
2 1 1 4
Direct
0.000 0.000 0.000
0.500 0.500 0.000
0.000 0.500 0.500
0.500 0.000 0.500
0.242 0.000 0.718
0.264 0.500 0.283
0.736 0.500 0.717
0.758 0.000 0.282
```

Results
Space-group type: No. 10
DOS at the Fermi energy: 0.85 states/eV/atom
Uncorrected energy: -0.3720 Ry per atom
Total magnetic moment: 0.0 μB per cell
E_form (uncorrected): -96 kJ/mol of atoms
Density: 6.19 Mg/m³

=====

Here is crystalline AsRu3 at its relaxed geometry from the Alexandria database. Energies are from PBE.

```
AsRu3
1.0
-1.466 2.187 4.429
1.466 -2.187 4.429
1.466 2.187 -4.429
As Ru
1 3
Direct
0.000 0.000 0.000
0.220 0.720 0.500
0.500 0.500 0.000
0.780 0.280 0.500
```

Results
DFT formation energy: 0.34 eV per formula unit
Space-group type: No. 71
DOS at the Fermi energy: 0.79 states/eV/atom
Uncorrected energy: -0.5906 Ry per atom
Total magnetic moment: 0.0 μB per cell
Energy above the lowest structure with this stoichiometry: 0.078 eV per formula unit
Density: 11.05 Mg/m³

=====

Here is crystalline ErTm4Tc2 at its relaxed geometry from the Alexandria database. Energies are from PBE.

```
ErTm4Tc2
1.0
7.729 0.000 0.000
0.000 6.192 0.000
-2.912 0.000 7.258
Er Tm Tc
2 8 4
Direct
0.026 0.250 0.157
0.974 0.750 0.843
0.239 0.501 0.583
0.239 0.999 0.583
0.327 0.750 0.250
0.387 0.250 0.025
0.613 0.750 0.975
0.673 0.250 0.750
0.761 0.001 0.417
0.761 0.499 0.417
0.032 0.250 0.755
0.422 0.250 0.383
0.578 0.750 0.617
0.968 0.750 0.245
```

Results
DFT formation energy: -0.53 eV per formula unit
Space-group type: No. 11
DOS at the Fermi energy: 0.69 states/eV/atom
Uncorrected energy: -0.4590 Ry per atom
Total magnetic moment: 0.0 μB per cell
Density: 9.93 Mg/m³

=====

Here is crystalline CdCo2Ir2 at its relaxed geometry from the Alexandria database. Energies are from PBE.

```
CdCo2Ir2
1.0
-1.917 1.917 5.244
1.917 -1.917 5.244
1.917 1.917 -5.244
Cd Co Ir
1 2 2
Direct
0.000 0.000 0.000
0.397 0.397 0.000
0.603 0.603 0.000
0.250 0.750 0.500
0.750 0.250 0.500
```

Results
DFT formation energy: 1.84 eV per formula unit
Space-group type: No. 139
DOS at the Fermi energy: 1.26 states/eV/atom
Uncorrected energy: -0.4558 Ry per atom
Total magnetic moment: 2.9 μB per cell
Energy above the lowest structure with this stoichiometry: 0.813 eV per formula unit
Density: 13.25 Mg/m³